Pa2CoMoO8: relaxed, GGA+U.

Structure (extended XYZ):
```
12
Lattice="-0.688 -5.101 -0.863 4.247 -1.054 2.845 -4.817 2.741 3.419" Properties=species:S:1:pos:R:3 pbc="T T T"
Pa 1.780 -3.077 0.991
Pa 0.605 -0.695 3.627
Co 0.000 0.000 0.000
Mo -1.862 -2.719 1.773
O 1.784 -4.504 2.796
O -0.003 -1.848 1.768
O -1.362 -1.831 4.027
O -3.389 1.304 2.870
O -0.134 -4.311 1.001
O 2.370 -1.990 2.903
O -1.089 0.788 3.926
O -3.207 -1.264 2.311
```

Output
Crystal system: tetragonal
SG: I-4
Density of states at the Fermi level in states/eV per cell: 0.000
Magnetic moment in μB per formula unit: 4.993
Total DFT energy (no corrections) in eV/atom: -8.5741